1.
# Th2Co3CuP4 | Alexandria via LeMat-Bulk | GGA-PBE | relaxed
data_Th2Co3CuP4
_chemical_formula_sum 'Th2 Co3 Cu1 P4'
_cell_length_a 4.066
_cell_length_b 4.066
_cell_length_c 9.132
_cell_angle_alpha 90.00
_cell_angle_beta 90.00
_cell_angle_gamma 90.00
_symmetry_space_group_name_H-M 'P 1'
_symmetry_Int_Tables_number 1
_symmetry_space_group_name_Hall 'P 1'
loop_
_atom_site_label
_atom_site_type_symbol
_atom_site_fract_x
_atom_site_fract_y
_atom_site_fract_z
Th1 Th 0.500 0.000 0.245
Th2 Th 0.000 0.500 0.755
Co1 Co 0.000 0.000 0.500
Co2 Co 0.500 0.000 0.891
Co3 Co 0.000 0.500 0.109
Cu1 Cu 0.500 0.500 0.500
P1 P 0.500 0.500 0.000
P2 P 0.000 0.000 0.000
P3 P 0.500 0.000 0.636
P4 P 0.000 0.500 0.364
# Density of states at the Fermi level (states/eV per cell): 5.35
# Magnetic moment (μB/cell): 0.00
# Space group: P-4m2, No. 115
# ΔE_f (eV/f.u.): -9.71
# Crystal system: tetragonal

=====

2.
# Tb2Tm5Mg | Alexandria via LeMat-Bulk | GGA-PBE | relaxed
data_Tb2Tm5Mg
_chemical_formula_sum 'Tb2 Tm5 Mg1'
_cell_length_a 6.926
_cell_length_b 6.928
_cell_length_c 6.962
_cell_angle_alpha 119.84
_cell_angle_beta 119.83
_cell_angle_gamma 90.00
_symmetry_space_group_name_H-M 'P 1'
_symmetry_Int_Tables_number 1
_symmetry_space_group_name_Hall 'P 1'
loop_
_atom_site_label
_atom_site_type_symbol
_atom_site_fract_x
_atom_site_fract_y
_atom_site_fract_z
Tb1 Tb 0.222 0.722 0.444
Tb2 Tb 0.722 0.222 0.445
Tm1 Tm 0.722 0.222 0.944
Tm2 Tm 0.222 0.222 0.944
Tm3 Tm 0.722 0.722 0.944
Tm4 Tm 0.222 0.722 0.944
Tm5 Tm 0.722 0.722 0.444
Mg1 Mg 0.222 0.222 0.444
# Density of states at the Fermi level (states/eV per cell): 9.44
# Magnetic moment (μB/cell): 0.00
# Space group: I4/mmm, No. 139
# ΔE_f (eV/f.u.): 0.20
# Crystal system: tetragonal

=====

3.
# Ce2NdTl3S6 | Alexandria via LeMat-Bulk | GGA-PBE | relaxed
data_Ce2NdTl3S6
_chemical_formula_sum 'Ce2 Nd1 Tl3 S6'
_cell_length_a 7.261
_cell_length_b 7.261
_cell_length_c 7.862
_cell_angle_alpha 98.85
_cell_angle_beta 98.85
_cell_angle_gamma 120.00
_symmetry_space_group_name_H-M 'P 1'
_symmetry_Int_Tables_number 1
_symmetry_space_group_name_Hall 'P 1'
loop_
_atom_site_label
_atom_site_type_symbol
_atom_site_fract_x
_atom_site_fract_y
_atom_site_fract_z
Ce1 Ce 0.333 0.667 0.000
Ce2 Ce 0.667 0.333 0.000
Nd1 Nd 0.000 0.000 0.000
Tl1 Tl 0.166 0.834 0.500
Tl2 Tl 0.834 0.166 0.500
Tl3 Tl 0.500 0.500 0.500
S1 S 0.932 0.598 0.797
S2 S 0.733 0.733 0.202
S3 S 0.068 0.402 0.203
S4 S 0.598 0.932 0.797
S5 S 0.267 0.267 0.798
S6 S 0.402 0.068 0.203
# Density of states at the Fermi level (states/eV per cell): 12.93
# Magnetic moment (μB/cell): 2.01
# Space group: C2/m, No. 12
# Crystal system: monoclinic
# Uncorrected formation energy (meV per atom): -1417

=====

> magnetic moment of number 2 (Tb2Tm5Mg)?

0.00 μB/cell

=====

> Number 3 is which compound?

Ce2NdTl3S6

=====

Please write out number 3 again, unchanged.
# Ce2NdTl3S6 | Alexandria via LeMat-Bulk | GGA-PBE | relaxed
data_Ce2NdTl3S6
_chemical_formula_sum 'Ce2 Nd1 Tl3 S6'
_cell_length_a 7.261
_cell_length_b 7.261
_cell_length_c 7.862
_cell_angle_alpha 98.85
_cell_angle_beta 98.85
_cell_angle_gamma 120.00
_symmetry_space_group_name_H-M 'P 1'
_symmetry_Int_Tables_number 1
_symmetry_space_group_name_Hall 'P 1'
loop_
_atom_site_label
_atom_site_type_symbol
_atom_site_fract_x
_atom_site_fract_y
_atom_site_fract_z
Ce1 Ce 0.333 0.667 0.000
Ce2 Ce 0.667 0.333 0.000
Nd1 Nd 0.000 0.000 0.000
Tl1 Tl 0.166 0.834 0.500
Tl2 Tl 0.834 0.166 0.500
Tl3 Tl 0.500 0.500 0.500
S1 S 0.932 0.598 0.797
S2 S 0.733 0.733 0.202
S3 S 0.068 0.402 0.203
S4 S 0.598 0.932 0.797
S5 S 0.267 0.267 0.798
S6 S 0.402 0.068 0.203
# Density of states at the Fermi level (states/eV per cell): 12.93
# Magnetic moment (μB/cell): 2.01
# Space group: C2/m, No. 12
# Crystal system: monoclinic
# Uncorrected formation energy (meV per atom): -1417

=====

What did the first record say?
# Th2Co3CuP4 | Alexandria via LeMat-Bulk | GGA-PBE | relaxed
data_Th2Co3CuP4
_chemical_formula_sum 'Th2 Co3 Cu1 P4'
_cell_length_a 4.066
_cell_length_b 4.066
_cell_length_c 9.132
_cell_angle_alpha 90.00
_cell_angle_beta 90.00
_cell_angle_gamma 90.00
_symmetry_space_group_name_H-M 'P 1'
_symmetry_Int_Tables_number 1
_symmetry_space_group_name_Hall 'P 1'
loop_
_atom_site_label
_atom_site_type_symbol
_atom_site_fract_x
_atom_site_fract_y
_atom_site_fract_z
Th1 Th 0.500 0.000 0.245
Th2 Th 0.000 0.500 0.755
Co1 Co 0.000 0.000 0.500
Co2 Co 0.500 0.000 0.891
Co3 Co 0.000 0.500 0.109
Cu1 Cu 0.500 0.500 0.500
P1 P 0.500 0.500 0.000
P2 P 0.000 0.000 0.000
P3 P 0.500 0.000 0.636
P4 P 0.000 0.500 0.364
# Density of states at the Fermi level (states/eV per cell): 5.35
# Magnetic moment (μB/cell): 0.00
# Space group: P-4m2, No. 115
# ΔE_f (eV/f.u.): -9.71
# Crystal system: tetragonal